Entry 1:
Here is Hf2CrCl after structural relaxation from Alexandria via LeMat-Bulk. Energies are from PBE-GGA.

Values from the calculation:
crystal system = cubic
D(E_F) = 1.46 states/eV per atom
spin magnetization = 0.00 μB per atom
polymorph energy (0 for the lowest one) = 0.000 eV per atom
formation energy from raw total energies = 0.44 eV per atom

Unit cell a=6.597 b=6.597 c=6.597 alpha=90.00 beta=90.00 gamma=90.00
Space group Fm-3m (No. 225)
Inequivalent atoms, fractional coordinates:
Hf 0.250 0.250 0.250 x8
Cr 0.000 0.000 0.000 x4
Cl 0.000 0.000 0.500 x4


Entry 2:
Here is HfCrCl3 after structural relaxation from Alexandria via LeMat-Bulk. Energies are from PBE-GGA.

Values from the calculation:
crystal system = cubic
D(E_F) = 1.50 states/eV per atom
spin magnetization = 1.35 μB per atom
polymorph energy (0 for the lowest one) = 0.482 eV per atom
formation energy from raw total energies = 0.05 eV per atom

Unit cell a=4.891 b=4.891 c=4.891 alpha=90.00 beta=90.00 gamma=90.00
Space group Pm-3m (No. 221)
Inequivalent atoms, fractional coordinates:
Hf 0.000 0.000 0.000 x1
Cr 0.500 0.500 0.500 x1
Cl 0.000 0.500 0.500 x3


Entry 3:
Here is HfCrCl3 after structural relaxation from Alexandria via LeMat-Bulk. Energies are from PBE-GGA.

Values from the calculation:
crystal system = cubic
D(E_F) = 0.59 states/eV per atom
spin magnetization = 1.14 μB per atom
polymorph energy (0 for the lowest one) = 0.000 eV per atom
formation energy from raw total energies = -0.43 eV per atom

Unit cell a=4.993 b=4.993 c=4.993 alpha=90.00 beta=90.00 gamma=90.00
Space group Pm-3m (No. 221)
Inequivalent atoms, fractional coordinates:
Hf 0.000 0.000 0.000 x1
Cr 0.500 0.500 0.500 x1
Cl 0.000 0.000 0.500 x3


Entry 4:
Here is Hf2CrCl after structural relaxation from Alexandria via LeMat-Bulk. Energies are from PBE-GGA.

Values from the calculation:
crystal system = tetragonal
D(E_F) = 1.22 states/eV per atom
spin magnetization = 0.00 μB per atom
polymorph energy (0 for the lowest one) = 0.330 eV per atom
formation energy from raw total energies = 0.76 eV per atom

Unit cell a=5.466 b=5.466 c=12.788 alpha=90.00 beta=90.00 gamma=90.00
Space group I-42d (No. 122)
Inequivalent atoms, fractional coordinates:
Hf 0.196 0.250 0.125 x8
Cr 0.000 0.000 0.000 x4
Cl 0.000 0.000 0.500 x4


Entry 5:
Here is Hf3CrCl after structural relaxation from Alexandria via LeMat-Bulk. Energies are from PBE-GGA.

Values from the calculation:
crystal system = cubic
D(E_F) = 0.82 states/eV per atom
spin magnetization = 0.58 μB per atom
polymorph energy (0 for the lowest one) = 0.000 eV per atom
formation energy from raw total energies = 0.37 eV per atom

Unit cell a=4.706 b=4.706 c=4.706 alpha=90.00 beta=90.00 gamma=90.00
Space group Pm-3m (No. 221)
Inequivalent atoms, fractional coordinates:
Hf 0.000 0.000 0.500 x3
Cr 0.500 0.500 0.500 x1
Cl 0.000 0.000 0.000 x1


Entry 6:
Here is HfCrSCl2 after structural relaxation from Alexandria via LeMat-Bulk. Energies are from PBE-GGA.

Values from the calculation:
crystal system = tetragonal
D(E_F) = 0.93 states/eV per atom
spin magnetization = 0.40 μB per atom
polymorph energy (0 for the lowest one) = 0.492 eV per atom
formation energy from raw total energies = -0.04 eV per atom

Unit cell a=4.601 b=4.601 c=4.896 alpha=90.00 beta=90.00 gamma=90.00
Space group P4/mmm (No. 123)
Inequivalent atoms, fractional coordinates:
Hf 0.000 0.000 0.000 x1
Cr 0.500 0.500 0.500 x1
S 0.500 0.500 0.000 x1
Cl 0.000 0.500 0.500 x2


Entry 7:
Here is HfCrSCl2 after structural relaxation from Alexandria via LeMat-Bulk. Energies are from PBE-GGA.

Values from the calculation:
crystal system = tetragonal
D(E_F) = 0.43 states/eV per atom
spin magnetization = 1.04 μB per atom
polymorph energy (0 for the lowest one) = 0.000 eV per atom
formation energy from raw total energies = -0.53 eV per atom

Unit cell a=4.962 b=4.962 c=4.949 alpha=90.00 beta=90.00 gamma=90.00
Space group P4/mmm (No. 123)
Inequivalent atoms, fractional coordinates:
Hf 0.000 0.000 0.000 x1
Cr 0.500 0.500 0.500 x1
S 0.000 0.000 0.500 x1
Cl 0.000 0.500 0.000 x2


Entry 8:
Here is HfCrSe2Cl after structural relaxation from Alexandria via LeMat-Bulk. Energies are from PBE-GGA.

Values from the calculation:
crystal system = tetragonal
D(E_F) = 0.92 states/eV per atom
spin magnetization = 0.96 μB per atom
formation energy from raw total energies = -0.04 eV per atom

Unit cell a=4.968 b=4.968 c=4.444 alpha=90.00 beta=90.00 gamma=90.00
Space group P4/mmm (No. 123)
Inequivalent atoms, fractional coordinates:
Hf 0.000 0.000 0.000 x1
Cr 0.500 0.500 0.500 x1
Se 0.000 0.500 0.500 x2
Cl 0.500 0.500 0.000 x1


Entry 9:
Here is HfCrSnCl2 after structural relaxation from Alexandria via LeMat-Bulk. Energies are from PBE-GGA.

Values from the calculation:
crystal system = tetragonal
D(E_F) = 0.60 states/eV per atom
spin magnetization = 0.73 μB per atom
formation energy from raw total energies = 0.06 eV per atom

Unit cell a=4.802 b=4.802 c=5.832 alpha=90.00 beta=90.00 gamma=90.00
Space group P4/mmm (No. 123)
Inequivalent atoms, fractional coordinates:
Hf 0.000 0.000 0.000 x1
Cr 0.000 0.000 0.500 x1
Sn 0.500 0.500 0.500 x1
Cl 0.000 0.500 0.000 x2


Entry 10:
Here is HfCrTeCl2 after structural relaxation from Alexandria via LeMat-Bulk. Energies are from PBE-GGA.

Values from the calculation:
crystal system = tetragonal
D(E_F) = 0.45 states/eV per atom
spin magnetization = 1.03 μB per atom
formation energy from raw total energies = -0.43 eV per atom

Unit cell a=4.848 b=4.848 c=5.815 alpha=90.00 beta=90.00 gamma=90.00
Space group P4/mmm (No. 123)
Inequivalent atoms, fractional coordinates:
Hf 0.000 0.000 0.000 x1
Cr 0.500 0.500 0.500 x1
Te 0.000 0.000 0.500 x1
Cl 0.000 0.500 0.000 x2


Entry 11:
Here is HfTlCr2Cl after structural relaxation from Alexandria via LeMat-Bulk. Energies are from PBE-GGA.

Values from the calculation:
crystal system = tetragonal
D(E_F) = 1.08 states/eV per atom
spin magnetization = 0.00 μB per atom
formation energy from raw total energies = 0.69 eV per atom

Unit cell a=4.270 b=4.270 c=4.705 alpha=90.00 beta=90.00 gamma=90.00
Space group P4/mmm (No. 123)
Inequivalent atoms, fractional coordinates:
Hf 0.000 0.000 0.000 x1
Tl 0.500 0.500 0.000 x1
Cr 0.000 0.500 0.500 x2
Cl 0.000 0.000 0.500 x1


Entry 12:
Here is CrHgCl2 after structural relaxation from Alexandria via LeMat-Bulk. Energies are from PBE-GGA.

Values from the calculation:
crystal system = orthorhombic
D(E_F) = 0.48 states/eV per atom
spin magnetization = 1.17 μB per atom
polymorph energy (0 for the lowest one) = 0.618 eV per atom
formation energy from raw total energies = -0.06 eV per atom

Unit cell a=3.924 b=3.947 c=6.222 alpha=90.00 beta=90.00 gamma=90.00
Space group Pmmm (No. 47)
Inequivalent atoms, fractional coordinates:
Cr 0.000 0.000 0.000 x1
Hg 0.500 0.000 0.500 x1
Cl 0.000 0.500 0.500 x1
Cl 0.500 0.500 0.000 x1


Entry 13:
Here is CrHgCl2 after structural relaxation from Alexandria via LeMat-Bulk. Energies are from PBE-GGA.

Values from the calculation:
crystal system = monoclinic
D(E_F) = 0.52 states/eV per atom
spin magnetization = 1.00 μB per atom
polymorph energy (0 for the lowest one) = 0.187 eV per atom
formation energy from raw total energies = -0.49 eV per atom

Unit cell a=5.484 b=3.510 c=6.110 alpha=90.00 beta=109.32 gamma=90.00
Space group Pm (No. 6)
Inequivalent atoms, fractional coordinates:
Cr 0.000 0.000 0.000 x1
Hg 0.279 0.500 0.815 x1
Cl 0.603 0.000 0.666 x1
Cl 0.935 0.500 0.232 x1


Entry 14:
Here is Cr2HgCl after structural relaxation from Alexandria via LeMat-Bulk. Energies are from PBE-GGA.

Values from the calculation:
crystal system = orthorhombic
D(E_F) = 0.69 states/eV per atom
spin magnetization = 2.22 μB per atom
polymorph energy (0 for the lowest one) = 0.296 eV per atom
formation energy from raw total energies = 0.38 eV per atom

Unit cell a=3.471 b=5.577 c=8.338 alpha=90.00 beta=90.00 gamma=90.00
Space group Cmmm (No. 65)
Inequivalent atoms, fractional coordinates:
Cr 0.000 0.000 0.237 x4
Hg 0.000 0.500 0.500 x2
Cl 0.000 0.500 0.000 x2


Entry 15:
Here is CrHgCl2 after structural relaxation from Alexandria via LeMat-Bulk. Energies are from PBE-GGA.

Values from the calculation:
crystal system = tetragonal
D(E_F) = 1.21 states/eV per atom
spin magnetization = 0.02 μB per atom
polymorph energy (0 for the lowest one) = 0.524 eV per atom
formation energy from raw total energies = -0.16 eV per atom

Unit cell a=7.058 b=7.058 c=9.879 alpha=90.00 beta=90.00 gamma=90.00
Space group I-42d (No. 122)
Inequivalent atoms, fractional coordinates:
Cr 0.000 0.000 0.000 x4
Hg 0.000 0.000 0.500 x4
Cl 0.059 0.250 0.125 x8


Entry 16:
Here is CrHgCl2 after structural relaxation from Alexandria via LeMat-Bulk. Energies are from PBE-GGA.

Values from the calculation:
crystal system = orthorhombic
D(E_F) = 1.15 states/eV per atom
spin magnetization = 1.10 μB per atom
polymorph energy (0 for the lowest one) = 0.695 eV per atom
formation energy from raw total energies = 0.01 eV per atom

Unit cell a=6.827 b=6.921 c=3.741 alpha=90.00 beta=90.00 gamma=90.00
Space group Cmmm (No. 65)
Inequivalent atoms, fractional coordinates:
Cr 0.000 0.000 0.000 x2
Hg 0.000 0.500 0.000 x2
Cl 0.250 0.250 0.500 x4


Entry 17:
Here is CrHgCl2 after structural relaxation from Alexandria via LeMat-Bulk. Energies are from PBE-GGA.

Values from the calculation:
crystal system = monoclinic
spin magnetization = 1.00 μB per atom
polymorph energy (0 for the lowest one) = 0.020 eV per atom
formation energy from raw total energies = -0.66 eV per atom

Unit cell a=12.625 b=3.399 c=6.846 alpha=90.00 beta=122.68 gamma=90.00
Space group C2/m (No. 12)
Inequivalent atoms, fractional coordinates:
Cr 0.000 0.000 0.000 x2
Hg 0.000 0.500 0.500 x2
Cl 0.153 0.500 0.153 x4


Entry 18:
Here is CrHgCl2 after structural relaxation from Alexandria via LeMat-Bulk. Energies are from PBE-GGA.

Values from the calculation:
crystal system = trigonal
D(E_F) = 1.20 states/eV per atom
spin magnetization = 0.96 μB per atom
polymorph energy (0 for the lowest one) = 0.515 eV per atom
formation energy from raw total energies = -0.17 eV per atom

Unit cell a=3.5797 b=3.5797 c=32.3911 alpha=90.00 beta=90.00 gamma=120.00
Space group R-3m (No. 166, hexagonal axes)
Inequivalent atoms, fractional coordinates:
Cr 0.0000 0.0000 0.0000 x3
Hg 0.0000 0.0000 0.5000 x3
Cl 0.0000 0.0000 0.0670 x6


Entry 19:
Here is Cr2HgCl after structural relaxation from Alexandria via LeMat-Bulk. Energies are from PBE-GGA.

Values from the calculation:
crystal system = tetragonal
D(E_F) = 0.62 states/eV per atom
spin magnetization = 2.31 μB per atom
polymorph energy (0 for the lowest one) = 0.426 eV per atom
formation energy from raw total energies = 0.51 eV per atom

Unit cell a=3.882 b=3.882 c=11.341 alpha=90.00 beta=90.00 gamma=90.00
Space group I-4m2 (No. 119)
Inequivalent atoms, fractional coordinates:
Cr 0.000 0.000 0.000 x2
Cr 0.000 0.500 0.250 x2
Hg 0.000 0.500 0.750 x2
Cl 0.000 0.000 0.500 x2


Entry 20:
Here is Cr2HgCl after structural relaxation from Alexandria via LeMat-Bulk. Energies are from PBE-GGA.

Values from the calculation:
crystal system = orthorhombic
D(E_F) = 0.65 states/eV per atom
spin magnetization = 2.09 μB per atom
polymorph energy (0 for the lowest one) = 0.228 eV per atom
formation energy from raw total energies = 0.32 eV per atom

Unit cell a=4.510 b=3.195 c=13.094 alpha=90.00 beta=90.00 gamma=90.00
Space group Amm2 (No. 38)
Inequivalent atoms, fractional coordinates:
Cr 0.000 0.000 0.000 x2
Cr 0.000 0.000 0.309 x2
Hg 0.500 0.000 0.873 x2
Cl 0.000 0.000 0.647 x2


no.,volume (Å³/atom)
1,17.942
2,23.400
3,24.896
4,23.876
5,20.842
6,20.728
7,24.369
8,21.933
9,26.894
10,27.336
11,17.161
12,24.087
13,27.749
14,20.179
15,30.761
16,22.094
17,30.910
18,29.954
19,21.360
20,23.582